DFT (PBE) results for a relaxed TbCo2Sn8 crystal.

Properties
- Total energy: -4.73 eV/atom
- Total magnetization: 0.000 μB per formula unit

a = 4.8974 Å, b = 7.6223 Å, c = 7.6223 Å
α = 114.14°, β = 93.04°, γ = 93.04°
Closest atoms and distances in Å follow each position.
Fractional coordinates of all 11 atoms:
Sn 0.2779 0.6107 0.6107  2 Co 2.74, 1 Sn 2.98
Sn 0.5000 0.7360 0.2640  2 Co 2.57
Co 0.0000 0.6754 0.3246  6 Sn 2.57-2.74
Sn 0.8934 0.6607 0.9426  2 Co 2.64-2.89
Sn 0.5000 0.2640 0.7360  2 Co 2.57
Sn 0.7221 0.3893 0.3893  2 Co 2.74, 1 Sn 2.98
Sn 0.8934 0.9426 0.6607  2 Co 2.64-2.89
Co 0.0000 0.3246 0.6754  6 Sn 2.57-2.74
Sn 0.1066 0.3393 0.0574  2 Co 2.64-2.89
Tb 0.5000 0.0000 0.0000  8 Sn 3.21-3.38
Sn 0.1066 0.0574 0.3393  2 Co 2.64-2.89